# Mn6FeCo PBE optimized geometry
# N(E_F), states/eV/f.u.: 8.9
# Formation energy, eV/atom: 0.005
data_Mn6FeCo
_cell_length_a 7.014
_cell_length_b 7.100
_cell_length_c 3.573
_cell_angle_alpha 90.00
_cell_angle_beta 90.00
_cell_angle_gamma 90.00
_symmetry_space_group_name_H-M 'C m m m'
_symmetry_Int_Tables_number 65
_symmetry_space_group_name_Hall '-C 2 2'
loop_
_atom_site_label
_atom_site_type_symbol
_atom_site_fract_x
_atom_site_fract_y
_atom_site_fract_z
_atom_site_occupancy
Mn1 Mn 0.000 0.250 0.000 1
Mn2 Mn 0.250 0.000 0.000 1
Mn3 Mn 0.250 0.250 0.500 1
Fe1 Fe 0.000 0.000 0.500 1
Co1 Co 0.000 0.500 0.500 1